5
Lattice="-1.785 -3.671 -1.921 3.801 -0.618 -2.350 1.649 -2.548 3.338" Properties=species:S:1:pos:R:3 comment="BeGaTc3 | Alexandria via LeMat-Bulk | PBE | relaxed" sg="Pm-3m (221)" delta_e_f_ev_per_atom=1.788 e_tot_ev_per_atom=-5.78 dos_at_fermi_per_ev_fu=8.221 pbc="T T T"
Tc 1.900 -0.309 -1.175
Tc -0.892 -1.835 -0.960
Tc 0.824 -1.274 1.669
Be 1.832 -3.419 -0.466
Ga 0.000 0.000 0.000